DFT (PBE-GGA) results for an optimized crystal structure of Ta2Te4Pb.

The crystal system is monoclinic. The raw formation energy is 6 kJ per mole of atoms. The density of states at the Fermi level is 4.9 states/eV/f.u. For the uncorrected energy, the calculation gives -5.65 eV per atom. The mass density is 8.1 g cm⁻³. The calculated volume comes out at 31.7 A^3/atom. For the total magnetization, the calculation gives 2.22 μB per formula unit.

The space group is C2/m (No. 12) and the conventional cell measures 14.217, 8.403 and 8.209 Å, with angles of 90.00, 115.01 and 90.00 degrees. The inequivalent atoms are Ta at (0.000, 0.000, 0.000), Ta at (0.000, 0.000, 0.500), Ta at (0.250, 0.250, 0.000), Te at (0.031, 0.231, 0.778), Te at (0.216, 0.000, 0.201), Te at (0.229, 0.000, 0.740) and Pb at (0.112, 0.500, 0.412).

DFT (PBE-GGA) results for an optimized crystal structure of Pt2Rh4W3.

The crystal system is orthorhombic. The density of states at the Fermi level is 8.2 states/eV/f.u. For the uncorrected energy, the calculation gives -8.97 eV per atom. The mass density is 16.1 g cm⁻³. The calculated volume comes out at 15.5 A^3/atom. The value obtained for the formation energy is -0.04 eV/atom. For the total magnetization, the calculation gives 0.00 μB per formula unit.

The space group is Cmmm (No. 65) and the conventional cell measures 7.426, 13.697 and 2.740 Å, with angles of 90.00, 90.00 and 90.00 degrees. The inequivalent atoms are Pt at (0.181, 0.000, 0.000), Rh at (0.185, 0.340, 0.500), W at (0.000, 0.190, 0.000) and W at (0.000, 0.500, 0.500).

- Which of these has the highest total magnetization?
  Ta2Te4Pb